Entry from Alexandria via LeMat-Bulk: Sm5Tm6Sc2 after structural relaxation (PBE).

Cell and atoms, written as CIF:
```
data_Sm5Tm6Sc2
_symmetry_space_group_name_H-M 'P 1'
_symmetry_Int_Tables_number 1
_cell_length_a 11.200
_cell_length_b 20.177
_cell_length_c 3.561
_cell_angle_alpha 90.00
_cell_angle_beta 90.00
_cell_angle_gamma 90.00
loop_
_symmetry_equiv_pos_as_xyz
'x,y,z'
loop_
_atom_site_label
_atom_site_fract_x
_atom_site_fract_y
_atom_site_fract_z
Sm1 0.000 0.000 0.000
Sm2 0.063 0.423 0.000
Sm3 0.147 0.722 0.000
Sm4 0.353 0.222 0.000
Sm5 0.437 0.923 0.000
Sm6 0.500 0.500 0.000
Sm7 0.563 0.077 0.000
Sm8 0.647 0.778 0.000
Sm9 0.853 0.278 0.000
Sm10 0.937 0.577 0.000
Tm1 0.080 0.155 0.000
Tm2 0.166 0.883 0.500
Tm3 0.222 0.556 0.500
Tm4 0.278 0.056 0.500
Tm5 0.334 0.383 0.500
Tm6 0.420 0.655 0.000
Tm7 0.580 0.345 0.000
Tm8 0.666 0.617 0.500
Tm9 0.722 0.944 0.500
Tm10 0.778 0.444 0.500
Tm11 0.834 0.117 0.500
Tm12 0.920 0.845 0.000
Sc1 0.112 0.286 0.500
Sc2 0.388 0.786 0.500
Sc3 0.612 0.214 0.500
Sc4 0.888 0.714 0.500
```

Properties
- Energy relative to the elements: 0.06 eV per atom
- Calculated volume: 804.61 Å³/cell
- DOS at the Fermi energy: 19.55 states/eV/f.u.